Below is crystalline TaB2Ir at its relaxed geometry, with properties calculated at the PBE level.

DFT total energy: -7.708 eV/atom
Symmetry: F-43m

Cell: 4.146 4.146 4.146 Å, 60.00 60.00 60.00°
Positions (direct):
Ta (0.000, 0.000, 0.000)
B (0.500, 0.500, 0.500)
B (0.750, 0.750, 0.750)
Ir (0.250, 0.250, 0.250)

=====

Below is crystalline PmYMgAl at its relaxed geometry, with properties calculated at the PBE level.

DFT total energy: -4.410 eV/atom
Symmetry: F-43m

Cell: 5.266 5.266 5.266 Å, 60.00 60.00 60.00°
Positions (direct):
Pm (0.000, 0.000, 0.000)
Y (0.500, 0.500, 0.500)
Mg (0.750, 0.750, 0.750)
Al (0.250, 0.250, 0.250)

=====

Below is crystalline DyZnB at its relaxed geometry, with properties calculated at the PBE level.

Symmetry: F-43m
Excess energy over the best structure of this formula in the dataset: 542 meV per atom

Cell: 4.207 4.207 4.207 Å, 60.00 60.00 60.00°
Positions (direct):
Dy (0.000, 0.000, 0.000)
Zn (0.750, 0.750, 0.750)
B (0.500, 0.500, 0.500)

=====

Below is crystalline SrHoAsO at its relaxed geometry, with properties calculated at the PBE level.

Symmetry: P4/nmm
Excess energy over the best structure of this formula in the dataset: 547 meV per atom

Cell: 4.896 4.896 9.233 Å, 90.00 90.00 90.00°
Positions (direct):
Sr (0.250, 0.250, 0.055)
Sr (0.750, 0.750, 0.945)
Ho (0.250, 0.750, 0.500)
Ho (0.750, 0.250, 0.500)
As (0.250, 0.250, 0.643)
As (0.750, 0.750, 0.357)
O (0.250, 0.750, 0.000)
O (0.750, 0.250, 0.000)